Density functional theory data (PBE) for a relaxed structure of CaTmTeO6.

CIF file:
```
data_CaTmTeO6
_chemical_formula_sum 'Ca2 Tm2 Te2 O12'
_symmetry_space_group_name_H-M 'P -3 1 c'
_symmetry_Int_Tables_number 163
_symmetry_space_group_name_Hall '-P 3 2c'
_cell_length_a 5.6103
_cell_length_b 5.6103
_cell_length_c 9.5296
_cell_angle_alpha 90.00
_cell_angle_beta 90.00
_cell_angle_gamma 120.00
loop_
_atom_site_label
_atom_site_type_symbol
_atom_site_fract_x
_atom_site_fract_y
_atom_site_fract_z
Ca1 Ca 0.0000 0.0000 0.0000
Tm1 Tm 0.3333 0.6667 0.2500
Te1 Te 0.3333 0.6667 0.7500
O1 O 0.0396 0.3792 0.6376
```

M_tot = 0.116 μB per atom
Final energy = -6.476 eV per atom
ΔE_f (raw) = -18.92 eV/f.u.